Model P:
DFT (PBE-GGA) results for a geometry-optimized HgB3Pt structure.

abc: 4.228 4.228 4.228
angles: 90.00 90.00 90.00
Space group Pm-3m (No. 221)
Unique sites:
Hg 0.000 0.000 0.000
B 0.000 0.500 0.500
Pt 0.500 0.500 0.500

Computed properties:
Total magnetization   0.0 Bohr magnetons per cell

=====

Model Q:
DFT (PBE-GGA) results for a geometry-optimized HgB3Pt structure.

abc: 4.269 4.269 4.269
angles: 90.00 90.00 90.00
Space group Pm-3m (No. 221)
Unique sites:
Hg 0.000 0.000 0.000
B 0.000 0.000 0.500
Pt 0.500 0.500 0.500

Computed properties:
Total magnetization   0.0 Bohr magnetons per cell

=====

Stability, descending: model P, model Q

=====

Model P:
DFT (PBE-GGA) results for a geometry-optimized YHg2BPt structure.

abc: 5.207 5.207 5.260
angles: 90.00 90.00 90.00
Space group P4/mmm (No. 123)
Unique sites:
Y 0.000 0.000 0.000
Hg 0.000 0.500 0.500
B 0.500 0.500 0.000
Pt 0.000 0.000 0.500

Computed properties:
Total magnetization   0.5 Bohr magnetons per cell

=====

Model Q:
DFT (PBE-GGA) results for a geometry-optimized YHg2BPt structure.

abc: 5.317 5.317 4.034
angles: 90.00 90.00 90.00
Space group P4/mmm (No. 123)
Unique sites:
Y 0.000 0.000 0.000
Hg 0.000 0.500 0.500
B 0.500 0.500 0.000
Pt 0.500 0.500 0.500

Computed properties:
Total magnetization   0.0 Bohr magnetons per cell

=====

Stability, descending: model Q, model P

=====

Model P:
DFT (PBE-GGA) results for a geometry-optimized Re3HgB structure.

abc: 4.192 4.192 4.192
angles: 90.00 90.00 90.00
Space group Pm-3m (No. 221)
Unique sites:
Re 0.000 0.000 0.500
Hg 0.500 0.500 0.500
B 0.000 0.000 0.000

Computed properties:
Total magnetization   0.0 Bohr magnetons per cell

=====

Model Q:
DFT (PBE-GGA) results for a geometry-optimized Re3HgB structure.

abc: 4.939 4.939 4.939
angles: 90.00 90.00 90.00
Space group Pm-3m (No. 221)
Unique sites:
Re 0.000 0.000 0.500
Hg 0.000 0.000 0.000
B 0.500 0.500 0.500

Computed properties:
Total magnetization   5.3 Bohr magnetons per cell

=====

Stability, descending: model P, model Q

=====

Model P:
DFT (PBE-GGA) results for a geometry-optimized ReHgBRuS structure.

abc: 3.721 3.928 8.206
angles: 103.32 102.97 90.00
Space group P1 (No. 1)
Unique sites:
Re 0.000 0.000 0.000
Hg 0.793 0.296 0.584
B 0.943 0.444 0.884
Ru 0.506 0.506 0.012
S 0.591 0.088 0.184

Computed properties:
Total magnetization   0.0 Bohr magnetons per cell

=====

Model Q:
DFT (PBE-GGA) results for a geometry-optimized ReHgBRuS structure.

abc: 4.354 3.398 6.182
angles: 90.00 90.46 90.00
Space group Pm (No. 6)
Unique sites:
Re 0.000 0.000 0.000
Hg 0.005 0.500 0.432
B 0.998 0.500 0.798
Ru 0.499 0.500 0.895
S 0.502 0.000 0.135

Computed properties:
Total magnetization   0.0 Bohr magnetons per cell

=====

Model R:
DFT (PBE-GGA) results for a geometry-optimized ReHgBRuS structure.

abc: 12.498 4.339 3.193
angles: 90.00 92.90 90.00
Space group Cm (No. 8)
Unique sites:
Re 0.000 0.000 0.000
Hg 0.191 0.000 0.546
B 0.034 0.500 0.004
Ru 0.428 0.000 0.486
S 0.362 0.500 0.472

Computed properties:
Total magnetization   0.0 Bohr magnetons per cell

=====

Model S:
DFT (PBE-GGA) results for a geometry-optimized ReHgBRuS structure.

abc: 4.301 3.213 6.862
angles: 90.00 90.45 90.00
Space group Pm (No. 6)
Unique sites:
Re 0.000 0.000 0.000
Hg 0.003 0.500 0.343
B 0.501 0.000 0.064
Ru 0.498 0.500 0.876
S 0.996 0.500 0.749

Computed properties:
Total magnetization   0.0 Bohr magnetons per cell

=====

Stability, descending: model R, model S, model Q, model P